No. 1
The following is a DFT calculation (GGA-PBE) of crystalline HfBOs at its relaxed geometry.

Lattice parameters (Å, degrees): 4.1373 4.1373 4.1373 60.00 60.00 60.00
Closest atoms and distances in Å follow each position.
Atoms (fractional coordinates):
Os 0.0000 0.0000 0.0000  4 Hf 2.53, 4 B 2.53
B 0.2500 0.2500 0.2500  4 Os 2.53
Hf 0.7500 0.7500 0.7500  4 Os 2.53

Values from the calculation:
E_tot = -8.675 eV/atom
E above lowest polymorph = 0 meV per atom



No. 2
The following is a DFT calculation (GGA-PBE) of crystalline Hf2BOs at its relaxed geometry.

Lattice parameters (Å, degrees): 4.4217 4.4217 4.4217 60.00 60.00 60.00
Closest atoms and distances in Å follow each position.
Atoms (fractional coordinates):
Hf 0.7500 0.7500 0.7500  4 B 2.71, 4 Hf 2.71
Hf 0.0000 0.0000 0.0000  4 Os 2.71, 4 Hf 2.71
Os 0.2500 0.2500 0.2500  4 B 2.71, 4 Hf 2.71
B 0.5000 0.5000 0.5000  4 Os 2.71, 4 Hf 2.71

Values from the calculation:
E_tot = -9.087 eV/atom



No. 3
The following is a DFT calculation (GGA-PBE) of crystalline HfBOs at its relaxed geometry.

Lattice parameters (Å, degrees): 4.1938 4.1938 4.1938 60.00 60.00 60.00
Closest atoms and distances in Å follow each position.
Atoms (fractional coordinates):
Hf 0.0000 0.0000 0.0000  4 Os 2.57, 4 B 2.57
Os 0.7500 0.7500 0.7500  4 Hf 2.57
B 0.2500 0.2500 0.2500  4 Hf 2.57

Values from the calculation:
E_tot = -8.225 eV/atom
E above lowest polymorph = 450 meV per atom



No. 4
The following is a DFT calculation (GGA-PBE) of crystalline Hf2B2P at its relaxed geometry.

Lattice parameters (Å, degrees): 6.1985 6.1985 3.3830 90.00 90.00 150.19
Closest atoms and distances in Å follow each position.
Atoms (fractional coordinates):
P 0.0000 0.0000 0.0000  2 B 2.68, 8 Hf 2.82
B 0.2233 0.7767 0.0000  2 B 1.72
B 0.7767 0.2233 0.0000  2 B 1.72
Hf 0.6333 0.3667 0.5000  6 B 2.41-2.56
Hf 0.3667 0.6333 0.5000  6 B 2.41-2.56

Values from the calculation:
E_tot = -8.474 eV/atom



No. 5
The following is a DFT calculation (GGA-PBE) of crystalline Hf3B4P at its relaxed geometry.

Lattice parameters (Å, degrees): 3.1850 3.4420 8.5420 90.00 90.00 90.00
Closest atoms and distances in Å follow each position.
Atoms (fractional coordinates):
P 0.0000 0.0000 0.0000  2 B 2.49
B 0.0000 0.0000 0.7082  2 B 1.80
B 0.5000 0.0000 0.6109  3 B 1.80-1.89
B 0.0000 0.0000 0.2918  2 B 1.80
B 0.5000 0.0000 0.3891  3 B 1.80-1.89
Hf 0.5000 0.5000 0.1791  6 B 2.49-2.53
Hf 0.0000 0.5000 0.5000  12 B 2.48-2.53
Hf 0.5000 0.5000 0.8209  6 B 2.49-2.53

Values from the calculation:
E_tot = -8.542 eV/atom



No. 6
The following is a DFT calculation (GGA-PBE) of crystalline Hf2BP at its relaxed geometry.

Lattice parameters (Å, degrees): 3.4931 3.4931 12.2278 90.00 90.00 120.00
Closest atoms and distances in Å follow each position.
Atoms (fractional coordinates):
Hf 0.6667 0.3333 0.6089  3 B 2.42, 3 P 2.65
Hf 0.6667 0.3333 0.8911  3 B 2.42, 3 P 2.65
Hf 0.3333 0.6667 0.1089  3 B 2.42, 3 P 2.65
Hf 0.3333 0.6667 0.3911  3 B 2.42, 3 P 2.65
B 0.0000 0.0000 0.0000  6 Hf 2.42
B 0.0000 0.0000 0.5000  6 Hf 2.42
P 0.3333 0.6667 0.7500  6 Hf 2.65
P 0.6667 0.3333 0.2500  6 Hf 2.65

Values from the calculation:
E_tot = -8.956 eV/atom